[1]
First-principles (PBE) data for an optimized crystal structure of Tb7PBr12, as listed in the Alexandria database.

Output
total DFT energy (no corrections)	-4.603	eV/atom

a b c (Å): 14.7869 14.7869 9.8885
angles (deg): 90.00 90.00 120.00
Space group R-3 (No. 148, hexagonal axes)
Symmetry-distinct sites (fractional):
Tb: 0.0000 0.0000 0.0000 [3 per cell]
Tb: 0.0451 0.1643 0.3502 [18 per cell]
P: 0.0000 0.0000 0.5000 [3 per cell]
Br: 0.0234 0.5862 0.1630 [18 per cell]
Br: 0.0493 0.1789 0.8376 [18 per cell]

=====

[2]
First-principles (PBE) data for an optimized crystal structure of Sc3BiS, as listed in the Alexandria database.

Output
ΔE to the lowest computed polymorph	1.424	eV/atom

a b c (Å): 5.460 5.460 5.460
angles (deg): 90.00 90.00 90.00
Space group Pm-3m (No. 221)
Symmetry-distinct sites (fractional):
Sc: 0.000 0.000 0.500 [3 per cell]
Bi: 0.000 0.000 0.000 [1 per cell]
S: 0.500 0.500 0.500 [1 per cell]

=====

[3]
First-principles (PBE) data for an optimized crystal structure of Pa3Tl3VTe8, as listed in the Alexandria database.

Output
total DFT energy (no corrections)	-5.231	eV/atom

a b c (Å): 8.5157 8.5157 25.6962
angles (deg): 90.00 90.00 120.00
Space group R-3m (No. 166, hexagonal axes)
Symmetry-distinct sites (fractional):
Pa: 0.0000 0.5000 0.0000 [9 per cell]
Tl: 0.0000 0.5000 0.5000 [9 per cell]
V: 0.0000 0.0000 0.0000 [3 per cell]
Te: 0.0000 0.0000 0.2596 [6 per cell]
Te: 0.0207 0.5104 0.7348 [18 per cell]

=====

[4]
First-principles (PBE) data for an optimized crystal structure of Cs3ReCl6, as listed in the Alexandria database.

Output
total DFT energy (no corrections)	-3.944	eV/atom

a b c (Å): 11.320 11.320 11.320
angles (deg): 90.00 90.00 90.00
Space group Fm-3m (No. 225)
Symmetry-distinct sites (fractional):
Cs: 0.000 0.000 0.000 [4 per cell]
Cs: 0.250 0.250 0.250 [8 per cell]
Re: 0.000 0.000 0.500 [4 per cell]
Cl: 0.000 0.000 0.287 [24 per cell]

=====

[5]
First-principles (PBE) data for an optimized crystal structure of Pr2NdYMg, as listed in the Alexandria database.

Output
energy of formation from the pure elements	0.146	eV per atom

a b c (Å): 6.063 7.537 7.363
angles (deg): 90.00 90.00 90.00
Space group Pmma (No. 51)
Symmetry-distinct sites (fractional):
Pr: 0.250 0.217 0.193 [4 per cell]
Nd: 0.250 0.000 0.661 [2 per cell]
Y: 0.250 0.500 0.871 [2 per cell]
Mg: 0.000 0.500 0.500 [2 per cell]

=====

[6]
First-principles (PBE) data for an optimized crystal structure of YSe2NO, as listed in the Alexandria database.

Output
ΔE to the lowest computed polymorph	0.623	eV/atom

a b c (Å): 5.604 5.604 4.571
angles (deg): 90.00 90.00 90.00
Space group P4/mmm (No. 123)
Symmetry-distinct sites (fractional):
Y: 0.000 0.000 0.000 [1 per cell]
Se: 0.000 0.500 0.000 [2 per cell]
N: 0.000 0.000 0.500 [1 per cell]
O: 0.500 0.500 0.500 [1 per cell]

=====

[7]
First-principles (PBE) data for an optimized crystal structure of AcP2Au, as listed in the Alexandria database.

Output
ΔE to the lowest computed polymorph	0.330	eV/atom
energy of formation from the pure elements	-0.374	eV per atom

a b c (Å): 4.645 4.645 4.138
angles (deg): 90.00 90.00 90.00
Space group P4/mmm (No. 123)
Symmetry-distinct sites (fractional):
Ac: 0.000 0.000 0.000 [1 per cell]
P: 0.000 0.500 0.500 [2 per cell]
Au: 0.500 0.500 0.000 [1 per cell]

=====

[8]
First-principles (PBE) data for an optimized crystal structure of Pm4Tm3S8, as listed in the Alexandria database.

Output
total DFT energy (no corrections)	-6.374	eV/atom

a b c (Å): 11.139 11.147 7.871
angles (deg): 90.00 134.88 90.00
Space group C2/m (No. 12)
Symmetry-distinct sites (fractional):
Pm: 0.000 0.000 0.000 [2 per cell]
Pm: 0.000 0.500 0.500 [2 per cell]
Pm: 0.250 0.250 0.000 [4 per cell]
Tm: 0.000 0.500 0.000 [2 per cell]
Tm: 0.250 0.250 0.500 [4 per cell]
S: 0.000 0.245 0.500 [4 per cell]
S: 0.000 0.256 0.000 [4 per cell]
S: 0.248 0.500 0.008 [4 per cell]
S: 0.249 0.500 0.489 [4 per cell]

=====

[9]
First-principles (PBE) data for an optimized crystal structure of Cd4SnAu2, as listed in the Alexandria database.

Output
energy of formation from the pure elements	-0.087	eV per atom

a b c (Å): 4.5559 4.5559 28.7842
angles (deg): 90.00 90.00 120.00
Space group R-3m (No. 166, hexagonal axes)
Symmetry-distinct sites (fractional):
Cd: 0.0000 0.0000 0.1101 [6 per cell]
Cd: 0.0000 0.0000 0.3024 [6 per cell]
Sn: 0.0000 0.0000 0.5000 [3 per cell]
Au: 0.0000 0.0000 0.4018 [6 per cell]

=====

[10]
First-principles (PBE) data for an optimized crystal structure of HfBRh3, as listed in the Alexandria database.

Output
ΔE to the lowest computed polymorph	0.412	eV/atom
energy of formation from the pure elements	-0.373	eV per atom

a b c (Å): 7.3193 7.3193 9.3165
angles (deg): 90.00 90.00 120.00
Space group R-3c (No. 167, hexagonal axes)
Symmetry-distinct sites (fractional):
Hf: 0.0000 0.0000 0.0000 [6 per cell]
B: 0.0000 0.0000 0.2500 [6 per cell]
Rh: 0.0000 0.2751 0.2500 [18 per cell]

=====

[11]
First-principles (PBE) data for an optimized crystal structure of Ga3ClO, as listed in the Alexandria database.

Output
ΔE to the lowest computed polymorph	0.833	eV/atom

a b c (Å): 5.382 5.382 5.382
angles (deg): 90.00 90.00 90.00
Space group Pm-3m (No. 221)
Symmetry-distinct sites (fractional):
Ga: 0.000 0.000 0.500 [3 per cell]
Cl: 0.000 0.000 0.000 [1 per cell]
O: 0.500 0.500 0.500 [1 per cell]

=====

[12]
First-principles (PBE) data for an optimized crystal structure of Ca2B2Ru2C, as listed in the Alexandria database.

Output
energy of formation from the pure elements	-0.241	eV per atom

a b c (Å): 10.881 3.801 6.777
angles (deg): 90.00 127.03 90.00
Space group C2/m (No. 12)
Symmetry-distinct sites (fractional):
Ca: 0.068 0.000 0.321 [4 per cell]
B: 0.206 0.500 0.780 [4 per cell]
Ru: 0.200 0.500 0.089 [4 per cell]
C: 0.000 0.500 0.000 [2 per cell]

=====

[13]
First-principles (PBE) data for an optimized crystal structure of NbSb2MoI, as listed in the Alexandria database.

Output
ΔE to the lowest computed polymorph	0.000	eV/atom

a b c (Å): 5.365 5.365 5.592
angles (deg): 90.00 90.00 90.00
Space group P4/mmm (No. 123)
Symmetry-distinct sites (fractional):
Nb: 0.000 0.000 0.000 [1 per cell]
Sb: 0.000 0.500 0.000 [2 per cell]
Mo: 0.500 0.500 0.500 [1 per cell]
I: 0.000 0.000 0.500 [1 per cell]

=====

[14]
First-principles (PBE) data for an optimized crystal structure of SrAgI2O, as listed in the Alexandria database.

Output
ΔE to the lowest computed polymorph	0.000	eV/atom

a b c (Å): 5.832 5.832 4.214
angles (deg): 90.00 90.00 90.00
Space group P4/mmm (No. 123)
Symmetry-distinct sites (fractional):
Sr: 0.000 0.000 0.000 [1 per cell]
Ag: 0.500 0.500 0.500 [1 per cell]
I: 0.000 0.500 0.500 [2 per cell]
O: 0.500 0.500 0.000 [1 per cell]

=====

[15]
First-principles (PBE) data for an optimized crystal structure of TbPm2Ho5, as listed in the Alexandria database.

Output
ΔE to the lowest computed polymorph	0.000	eV/atom
energy of formation from the pure elements	0.018	eV per atom

a b c (Å): 7.122 14.246 5.029
angles (deg): 90.00 90.00 90.00
Space group Pbam (No. 55)
Symmetry-distinct sites (fractional):
Tb: 0.000 0.000 0.000 [2 per cell]
Pm: 0.250 0.125 0.500 [4 per cell]
Ho: 0.000 0.250 0.000 [4 per cell]
Ho: 0.000 0.500 0.000 [2 per cell]
Ho: 0.250 0.375 0.500 [4 per cell]

=====

[16]
First-principles (PBE) data for an optimized crystal structure of Ca2MgGe2Rh5, as listed in the Alexandria database.

Output
energy of formation from the pure elements	-0.607	eV per atom

a b c (Å): 10.042 10.042 3.432
angles (deg): 90.00 90.00 90.00
Space group P4/mbm (No. 127)
Symmetry-distinct sites (fractional):
Ca: 0.173 0.327 0.000 [4 per cell]
Mg: 0.000 0.000 0.000 [2 per cell]
Ge: 0.127 0.627 0.000 [4 per cell]
Rh: 0.000 0.500 0.500 [2 per cell]
Rh: 0.067 0.792 0.500 [8 per cell]

=====

[17]
First-principles (PBE) data for an optimized crystal structure of Er2Cu15Pd2, as listed in the Alexandria database.

Output
energy of formation from the pure elements	-0.186	eV per atom

a b c (Å): 8.6171 8.6171 12.4740
angles (deg): 90.00 90.00 120.00
Space group R-3m (No. 166, hexagonal axes)
Symmetry-distinct sites (fractional):
Er: 0.0000 0.0000 0.1632 [6 per cell]
Cu: 0.0000 0.2988 0.5000 [18 per cell]
Cu: 0.0000 0.5000 0.0000 [9 per cell]
Cu: 0.0057 0.5028 0.6522 [18 per cell]
Pd: 0.0000 0.0000 0.3935 [6 per cell]

=====

[18]
First-principles (PBE) data for an optimized crystal structure of SrZrRh2, as listed in the Alexandria database.

Output
energy of formation from the pure elements	-0.557	eV per atom

a b c (Å): 3.317 3.365 7.423
angles (deg): 90.00 90.00 90.00
Space group Pmmm (No. 47)
Symmetry-distinct sites (fractional):
Sr: 0.000 0.000 0.000 [1 per cell]
Zr: 0.000 0.000 0.500 [1 per cell]
Rh: 0.500 0.500 0.298 [2 per cell]

=====

[19]
First-principles (PBE) data for an optimized crystal structure of CaSi2Os, as listed in the Alexandria database.

Output
total DFT energy (no corrections)	-6.449	eV/atom

a b c (Å): 4.1014 4.1014 15.3554
angles (deg): 90.00 90.00 120.00
Space group R-3m (No. 166, hexagonal axes)
Symmetry-distinct sites (fractional):
Ca: 0.0000 0.0000 0.0000 [3 per cell]
Si: 0.0000 0.0000 0.2068 [6 per cell]
Os: 0.0000 0.0000 0.5000 [3 per cell]

=====

[20]
First-principles (PBE) data for an optimized crystal structure of PuAg2GeS4, as listed in the Alexandria database.

Output
total DFT energy (no corrections)	-5.720	eV/atom

a b c (Å): 7.472 7.930 11.134
angles (deg): 90.00 90.00 90.00
Space group Imma (No. 74)
Symmetry-distinct sites (fractional):
Pu: 0.000 0.000 0.000 [4 per cell]
Ag: 0.000 0.000 0.500 [4 per cell]
Ag: 0.250 0.250 0.250 [4 per cell]
Ge: 0.250 0.250 0.750 [4 per cell]
S: 0.000 0.009 0.756 [8 per cell]
S: 0.248 0.250 0.990 [8 per cell]